VASP calculation (PBE) on an optimized crystal structure of Dy2In5Ni3.

Cell: 4.3597 26.0901 7.1141 Å, 90.00 90.00 90.00°
Space group Cmc2_1 (No. 36)
Symmetry-distinct sites (fractional):
Dy1 0.0000 0.0241 0.0000 [4 per cell]
Dy2 0.0000 0.3263 0.9236 [4 per cell]
In1 0.0000 0.0957 0.6241 [4 per cell]
In2 0.0000 0.2066 0.1272 [4 per cell]
In3 0.0000 0.2098 0.7163 [4 per cell]
In4 0.0000 0.3749 0.4682 [4 per cell]
In5 0.0000 0.4476 0.8298 [4 per cell]
Ni1 0.0000 0.1100 0.2457 [4 per cell]
Ni2 0.0000 0.2715 0.4196 [4 per cell]
Ni3 0.0000 0.4555 0.2210 [4 per cell]

Summary:
Fermi-level density of states: 24.95 states/eV per cell
crystal system: orthorhombic
ΔE_f: -368 meV/atom
final energy: -4.392 eV per atom